(1)
# NbTlCo2Sb meta-GGA SCAN single point on PBEsol structure
# Calculated density ... 8.360 g cm⁻³
# Energy relative to the elements, uncorrected ... 1.056 eV per atom
# DOS at the Fermi energy ... 4.078 states/eV/f.u.
# VASP energy ... -172.1 eV for the cell shown
# Volume ... 21.33 A^3/atom
data_NbTlCo2Sb
_chemical_formula_sum 'Nb1 Tl1 Co2 Sb1'
_symmetry_space_group_name_H-M 'P 1'
_symmetry_Int_Tables_number 1
_cell_length_a 4.5516
_cell_length_b 4.5516
_cell_length_c 5.1479
_cell_angle_alpha 90.00
_cell_angle_beta 90.00
_cell_angle_gamma 90.00
loop_
_symmetry_equiv_pos_as_xyz
'x,y,z'
loop_
_atom_site_label
_atom_site_type_symbol
_atom_site_fract_x
_atom_site_fract_y
_atom_site_fract_z
Nb1 Nb 0.0000 0.0000 0.0000
Tl1 Tl 0.5000 0.5000 0.0000
Co1 Co 0.0000 0.5000 0.5000
Co2 Co 0.5000 0.0000 0.5000
Sb1 Sb 0.0000 0.0000 0.5000

***

(2)
# Fe2NiAs meta-GGA SCAN single point on PBEsol structure
# Calculated density ... 8.760 g cm⁻³
# Formation energy from the elements ... 0.011 eV/atom
# DOS at the Fermi energy ... 3.127 states/eV/f.u.
# VASP energy ... -72.6 eV for the cell shown
# Volume ... 11.63 A^3/atom
data_Fe2NiAs
_chemical_formula_sum 'Fe2 Ni1 As1'
_symmetry_space_group_name_H-M 'P 1'
_symmetry_Int_Tables_number 1
_cell_length_a 4.2979
_cell_length_b 4.2979
_cell_length_c 2.7051
_cell_angle_alpha 90.00
_cell_angle_beta 90.00
_cell_angle_gamma 111.47
loop_
_symmetry_equiv_pos_as_xyz
'x,y,z'
loop_
_atom_site_label
_atom_site_type_symbol
_atom_site_fract_x
_atom_site_fract_y
_atom_site_fract_z
Fe1 Fe 0.0000 0.5000 0.0000
Fe2 Fe 0.5000 0.0000 0.0000
Ni1 Ni 0.0000 0.0000 0.5000
As1 As 0.5000 0.5000 0.5000

***

(3)
# Tl2ReSi meta-GGA SCAN single point on PBEsol structure
# Calculated density ... 13.445 g cm⁻³
# Energy relative to the elements, uncorrected ... 1.208 eV per atom
# DOS at the Fermi energy ... 2.649 states/eV/f.u.
# VASP energy ... -221.0 eV for the cell shown
# Volume ... 19.24 A^3/atom
data_Tl2ReSi
_chemical_formula_sum 'Tl2 Re1 Si1'
_symmetry_space_group_name_H-M 'P 1'
_symmetry_Int_Tables_number 1
_cell_length_a 5.1090
_cell_length_b 2.8952
_cell_length_c 5.3227
_cell_angle_alpha 90.00
_cell_angle_beta 102.21
_cell_angle_gamma 90.00
loop_
_symmetry_equiv_pos_as_xyz
'x,y,z'
loop_
_atom_site_label
_atom_site_type_symbol
_atom_site_fract_x
_atom_site_fract_y
_atom_site_fract_z
Tl1 Tl 0.0000 0.0000 0.0000
Tl2 Tl 0.0000 0.5000 0.5000
Re1 Re 0.5000 0.0000 0.5000
Si1 Si 0.5000 0.5000 0.0000

***

(4)
# Be5Cu meta-GGA SCAN single point on PBEsol structure
# Calculated density ... 3.564 g cm⁻³
# Formation energy from the elements ... -0.097 eV/atom
# DOS at the Fermi energy ... 0.901 states/eV/f.u.
# VASP energy ... -37.5 eV for the cell shown
# Volume ... 8.43 A^3/atom
data_Be5Cu
_chemical_formula_sum 'Be5 Cu1'
_symmetry_space_group_name_H-M 'P 1'
_symmetry_Int_Tables_number 1
_cell_length_a 4.0172
_cell_length_b 4.0172
_cell_length_c 3.6212
_cell_angle_alpha 90.00
_cell_angle_beta 90.00
_cell_angle_gamma 120.00
loop_
_symmetry_equiv_pos_as_xyz
'x,y,z'
loop_
_atom_site_label
_atom_site_type_symbol
_atom_site_fract_x
_atom_site_fract_y
_atom_site_fract_z
Be1 Be 0.0000 0.6389 0.0000
Be2 Be 0.3333 0.6667 0.5000
Be3 Be 0.3611 0.3611 0.0000
Be4 Be 0.6389 0.0000 0.0000
Be5 Be 0.6667 0.3333 0.5000
Cu1 Cu 0.0000 0.0000 0.5000

***

(5)
# Li3MnV3O8 meta-GGA SCAN single point on PBEsol structure
# Calculated density ... 4.185 g cm⁻³
# Energy relative to the elements, uncorrected ... -2.437 eV per atom
# DOS at the Fermi energy ... 3.786 states/eV/f.u.
# VASP energy ... -164.3 eV for the cell shown
# Volume ... 9.43 A^3/atom
data_Li3MnV3O8
_chemical_formula_sum 'Li3 Mn1 V3 O8'
_symmetry_space_group_name_H-M 'P 1'
_symmetry_Int_Tables_number 1
_cell_length_a 6.2849
_cell_length_b 6.2849
_cell_length_c 6.2969
_cell_angle_alpha 106.72
_cell_angle_beta 106.72
_cell_angle_gamma 36.65
loop_
_symmetry_equiv_pos_as_xyz
'x,y,z'
loop_
_atom_site_label
_atom_site_type_symbol
_atom_site_fract_x
_atom_site_fract_y
_atom_site_fract_z
Li1 Li 0.0000 0.0000 0.0000
Li2 Li 0.1148 0.1148 0.6971
Li3 Li 0.2323 0.2323 0.3566
Mn1 Mn 0.7742 0.7742 0.6583
V1 V 0.3464 0.3464 0.0483
V2 V 0.4507 0.4507 0.6437
V3 V 0.6713 0.6713 0.0465
O1 O 0.1725 0.1725 0.0341
O2 O 0.2847 0.2847 0.6857
O3 O 0.4001 0.4001 0.3455
O4 O 0.4992 0.4992 0.9922
O5 O 0.6198 0.6198 0.7083
O6 O 0.7143 0.7143 0.3516
O7 O 0.8341 0.8341 0.9980
O8 O 0.9437 0.9437 0.6697

***

(6)
# NiHgTe2 meta-GGA SCAN single point on PBEsol structure
# Calculated density ... 7.744 g cm⁻³
# Energy relative to the elements, uncorrected ... -0.101 eV per atom
# DOS at the Fermi energy ... 2.306 states/eV/f.u.
# VASP energy ... -318.5 eV for the cell shown
# Volume ... 27.58 A^3/atom
data_NiHgTe2
_chemical_formula_sum 'Ni2 Hg2 Te4'
_symmetry_space_group_name_H-M 'P 1'
_symmetry_Int_Tables_number 1
_cell_length_a 7.2433
_cell_length_b 7.2433
_cell_length_c 7.2433
_cell_angle_alpha 129.49
_cell_angle_beta 129.49
_cell_angle_gamma 74.22
loop_
_symmetry_equiv_pos_as_xyz
'x,y,z'
loop_
_atom_site_label
_atom_site_type_symbol
_atom_site_fract_x
_atom_site_fract_y
_atom_site_fract_z
Ni1 Ni 0.0000 0.0000 0.0000
Ni2 Ni 0.7500 0.2500 0.5000
Hg1 Hg 0.2500 0.7500 0.5000
Hg2 Hg 0.5000 0.5000 0.0000
Te1 Te 0.0669 0.6250 0.9419
Te2 Te 0.3750 0.3169 0.4419
Te3 Te 0.6831 0.1250 0.0581
Te4 Te 0.8750 0.9331 0.5581

***

(7)
# YGa2Tc meta-GGA SCAN single point on PBEsol structure
# Calculated density ... 8.013 g cm⁻³
# Formation energy from the elements ... -0.320 eV/atom
# DOS at the Fermi energy ... 3.619 states/eV/f.u.
# VASP energy ... -96.9 eV for the cell shown
# Volume ... 16.91 A^3/atom
data_YGa2Tc
_chemical_formula_sum 'Y1 Ga2 Tc1'
_symmetry_space_group_name_H-M 'P 1'
_symmetry_Int_Tables_number 1
_cell_length_a 4.5732
_cell_length_b 4.5732
_cell_length_c 4.5732
_cell_angle_alpha 60.00
_cell_angle_beta 60.00
_cell_angle_gamma 60.00
loop_
_symmetry_equiv_pos_as_xyz
'x,y,z'
loop_
_atom_site_label
_atom_site_type_symbol
_atom_site_fract_x
_atom_site_fract_y
_atom_site_fract_z
Y1 Y 0.0000 0.0000 0.0000
Ga1 Ga 0.2500 0.2500 0.2500
Ga2 Ga 0.7500 0.7500 0.7500
Tc1 Tc 0.5000 0.5000 0.5000

***

(8)
# Nb3HF meta-GGA SCAN single point on PBEsol structure
# Calculated density ... 6.682 g cm⁻³
# DOS at the Fermi energy ... 4.537 states/eV/f.u.
# VASP energy ... -102.8 eV for the cell shown
# Volume ... 14.85 A^3/atom
data_Nb3HF
_chemical_formula_sum 'Nb3 H1 F1'
_symmetry_space_group_name_H-M 'P 1'
_symmetry_Int_Tables_number 1
_cell_length_a 4.2029
_cell_length_b 4.2029
_cell_length_c 4.2029
_cell_angle_alpha 90.00
_cell_angle_beta 90.00
_cell_angle_gamma 90.00
loop_
_symmetry_equiv_pos_as_xyz
'x,y,z'
loop_
_atom_site_label
_atom_site_type_symbol
_atom_site_fract_x
_atom_site_fract_y
_atom_site_fract_z
Nb1 Nb 0.0000 0.0000 0.5000
Nb2 Nb 0.0000 0.5000 0.0000
Nb3 Nb 0.5000 0.0000 0.0000
H1 H 0.5000 0.5000 0.5000
F1 F 0.0000 0.0000 0.0000

***

(9)
# Li2ZrTc meta-GGA SCAN single point on PBEsol structure
# Calculated density ... 5.089 g cm⁻³
# Formation energy from the elements ... 0.201 eV/atom
# DOS at the Fermi energy ... 1.992 states/eV/f.u.
# VASP energy ... -69.7 eV for the cell shown
# Volume ... 16.57 A^3/atom
data_Li2ZrTc
_chemical_formula_sum 'Li2 Zr1 Tc1'
_symmetry_space_group_name_H-M 'P 1'
_symmetry_Int_Tables_number 1
_cell_length_a 5.6900
_cell_length_b 5.6900
_cell_length_c 2.7528
_cell_angle_alpha 99.63
_cell_angle_beta 99.63
_cell_angle_gamma 126.73
loop_
_symmetry_equiv_pos_as_xyz
'x,y,z'
loop_
_atom_site_label
_atom_site_type_symbol
_atom_site_fract_x
_atom_site_fract_y
_atom_site_fract_z
Li1 Li 0.0000 0.5000 0.0000
Li2 Li 0.5000 0.0000 0.0000
Zr1 Zr 0.0000 0.0000 0.5000
Tc1 Tc 0.5000 0.5000 0.5000

***

(10)
# NiAg2Br meta-GGA SCAN single point on PBEsol structure
# Calculated density ... 7.463 g cm⁻³
# Energy relative to the elements, uncorrected ... 0.184 eV per atom
# DOS at the Fermi energy ... 1.025 states/eV/f.u.
# VASP energy ... -97.6 eV for the cell shown
# Volume ... 19.71 A^3/atom
data_NiAg2Br
_chemical_formula_sum 'Ni1 Ag2 Br1'
_symmetry_space_group_name_H-M 'P 1'
_symmetry_Int_Tables_number 1
_cell_length_a 4.6338
_cell_length_b 4.6338
_cell_length_c 6.3219
_cell_angle_alpha 106.82
_cell_angle_beta 106.82
_cell_angle_gamma 37.59
loop_
_symmetry_equiv_pos_as_xyz
'x,y,z'
loop_
_atom_site_label
_atom_site_type_symbol
_atom_site_fract_x
_atom_site_fract_y
_atom_site_fract_z
Ni1 Ni 0.0000 0.0000 0.0000
Ag1 Ag 0.2444 0.2444 0.8519
Ag2 Ag 0.4718 0.4718 0.6432
Br1 Br 0.5928 0.5928 0.2931

***

(11)
# NbCr2IrPd meta-GGA SCAN single point on PBEsol structure
# Calculated density ... 9.133 g cm⁻³
# Formation energy from the elements ... 1.741 eV/atom
# DOS at the Fermi energy ... 3.343 states/eV/f.u.
# VASP energy ... -165.1 eV for the cell shown
# Volume ... 18.02 A^3/atom
data_NbCr2IrPd
_chemical_formula_sum 'Nb1 Cr2 Ir1 Pd1'
_symmetry_space_group_name_H-M 'P 1'
_symmetry_Int_Tables_number 1
_cell_length_a 4.4009
_cell_length_b 4.4009
_cell_length_c 4.6519
_cell_angle_alpha 90.00
_cell_angle_beta 90.00
_cell_angle_gamma 90.00
loop_
_symmetry_equiv_pos_as_xyz
'x,y,z'
loop_
_atom_site_label
_atom_site_type_symbol
_atom_site_fract_x
_atom_site_fract_y
_atom_site_fract_z
Nb1 Nb 0.0000 0.0000 0.0000
Cr1 Cr 0.0000 0.5000 0.0000
Cr2 Cr 0.5000 0.0000 0.0000
Ir1 Ir 0.5000 0.5000 0.5000
Pd1 Pd 0.0000 0.0000 0.5000

***

(12)
# CaTe2Rh meta-GGA SCAN single point on PBEsol structure
# Calculated density ... 6.477 g cm⁻³
# Energy relative to the elements, uncorrected ... -0.761 eV per atom
# DOS at the Fermi energy ... 1.161 states/eV/f.u.
# VASP energy ... -121.0 eV for the cell shown
# Volume ... 25.52 A^3/atom
data_CaTe2Rh
_chemical_formula_sum 'Ca1 Te2 Rh1'
_symmetry_space_group_name_H-M 'P 1'
_symmetry_Int_Tables_number 1
_cell_length_a 5.1348
_cell_length_b 5.1348
_cell_length_c 4.0289
_cell_angle_alpha 90.00
_cell_angle_beta 90.00
_cell_angle_gamma 106.05
loop_
_symmetry_equiv_pos_as_xyz
'x,y,z'
loop_
_atom_site_label
_atom_site_type_symbol
_atom_site_fract_x
_atom_site_fract_y
_atom_site_fract_z
Ca1 Ca 0.0000 0.0000 0.0000
Te1 Te 0.3010 0.6990 0.5000
Te2 Te 0.6990 0.3010 0.5000
Rh1 Rh 0.5000 0.5000 0.0000

***

(13)
# RePb2 meta-GGA SCAN single point on PBEsol structure
# Calculated density ... 14.376 g cm⁻³
# Formation energy from the elements ... 0.918 eV/atom
# DOS at the Fermi energy ... 2.834 states/eV/f.u.
# VASP energy ... -219.9 eV for the cell shown
# Volume ... 23.12 A^3/atom
data_RePb2
_chemical_formula_sum 'Re1 Pb2'
_symmetry_space_group_name_H-M 'P 1'
_symmetry_Int_Tables_number 1
_cell_length_a 7.3611
_cell_length_b 7.3611
_cell_length_c 7.3611
_cell_angle_alpha 155.34
_cell_angle_beta 155.34
_cell_angle_gamma 35.16
loop_
_symmetry_equiv_pos_as_xyz
'x,y,z'
loop_
_atom_site_label
_atom_site_type_symbol
_atom_site_fract_x
_atom_site_fract_y
_atom_site_fract_z
Re1 Re 0.0000 0.0000 0.0000
Pb1 Pb 0.3626 0.3626 0.0000
Pb2 Pb 0.6374 0.6374 0.0000

***

(14)
# ScBPS2 meta-GGA SCAN single point on PBEsol structure
# Calculated density ... 3.400 g cm⁻³
# Energy relative to the elements, uncorrected ... -0.011 eV per atom
# DOS at the Fermi energy ... 2.665 states/eV/f.u.
# VASP energy ... -51.4 eV for the cell shown
# Volume ... 14.74 A^3/atom
data_ScBPS2
_chemical_formula_sum 'Sc1 B1 P1 S2'
_symmetry_space_group_name_H-M 'P 1'
_symmetry_Int_Tables_number 1
_cell_length_a 4.3134
_cell_length_b 4.3134
_cell_length_c 3.9603
_cell_angle_alpha 90.00
_cell_angle_beta 90.00
_cell_angle_gamma 90.00
loop_
_symmetry_equiv_pos_as_xyz
'x,y,z'
loop_
_atom_site_label
_atom_site_type_symbol
_atom_site_fract_x
_atom_site_fract_y
_atom_site_fract_z
Sc1 Sc 0.0000 0.0000 0.0000
B1 B 0.5000 0.5000 0.5000
P1 P 0.5000 0.5000 0.0000
S1 S 0.0000 0.5000 0.5000
S2 S 0.5000 0.0000 0.5000